Record 1
First-principles (PBE-GGA) data for crystalline PuZrCuPd at its relaxed geometry, as listed in Alexandria via LeMat-Bulk.

Results
SG = F-43m (216)
total DFT energy (no corrections) = -8.185 eV/atom
ΔH_f (0 K) = -0.1429 eV/atom

a = 4.8348 Å, b = 4.8348 Å, c = 4.8348 Å
α = 60.00°, β = 60.00°, γ = 60.00°
Fractional positions:
Zr  0.7500  0.7500  0.7500
Pd  0.0000  0.0000  0.0000
Pu  0.2500  0.2500  0.2500
Cu  0.5000  0.5000  0.5000

Record 2
First-principles (PBE-GGA) data for crystalline Ca2MgCl at its relaxed geometry, as listed in Alexandria via LeMat-Bulk.

Results
E_form (uncorrected) = -0.71 eV per atom
SG = Cmmm (65)
energy above the most stable polymorph in this dataset = 0.097 eV per atom
total DFT energy (no corrections) = -2.574 eV/atom

a = 3.6090 Å, b = 3.6090 Å, c = 8.8316 Å
α = 90.00°, β = 90.00°, γ = 94.87°
Fractional positions:
Ca  0.0000  0.0000  0.4916
Ca  0.0000  0.0000  0.0084
Mg  0.5000  0.5000  0.7500
Cl  0.5000  0.5000  0.2500

Record 3
First-principles (PBE-GGA) data for crystalline Dy4Cd5Ru2 at its relaxed geometry, as listed in Alexandria via LeMat-Bulk.

Results
SG = P2/m (10)
total DFT energy (no corrections) = -4.086 eV/atom
ΔH_f (0 K) = -0.3105 eV/atom

a = 3.5262 Å, b = 7.7348 Å, c = 9.7083 Å
α = 94.75°, β = 90.00°, γ = 90.00°
Fractional positions:
Cd  0.0000  0.5503  0.3202
Cd  0.0000  0.5000  0.0000
Cd  0.0000  0.8086  0.8422
Cd  0.0000  0.4497  0.6798
Cd  0.0000  0.1914  0.1578
Dy  0.5000  0.7867  0.5508
Dy  0.5000  0.2133  0.4492
Dy  0.5000  0.8338  0.1444
Dy  0.5000  0.1662  0.8556
Ru  0.0000  0.9262  0.3539
Ru  0.0000  0.0738  0.6461

Record 4
First-principles (PBE-GGA) data for crystalline Sr2LiTlRh at its relaxed geometry, as listed in Alexandria via LeMat-Bulk.

Results
SG = P4/mmm (123)
energy above the most stable polymorph in this dataset = 0.000 eV per atom
total DFT energy (no corrections) = -3.152 eV/atom
ΔH_f (0 K) = -0.1525 eV/atom

a = 5.7802 Å, b = 5.7802 Å, c = 5.3135 Å
α = 90.00°, β = 90.00°, γ = 90.00°
Fractional positions:
Li  0.5000  0.5000  0.5000
Sr  0.5000  0.0000  0.0000
Sr  0.0000  0.5000  0.0000
Rh  0.0000  0.0000  0.0000
Tl  0.0000  0.0000  0.5000

Record 5
First-principles (PBE-GGA) data for crystalline Sr2ZnGa3Au4 at its relaxed geometry, as listed in Alexandria via LeMat-Bulk.

Results
SG = P-4m2 (115)
total DFT energy (no corrections) = -3.259 eV/atom
ΔH_f (0 K) = -0.5762 eV/atom

a = 4.5157 Å, b = 4.5157 Å, c = 10.8265 Å
α = 90.00°, β = 90.00°, γ = 90.00°
Fractional positions:
Sr  0.5000  0.0000  0.2490
Sr  0.0000  0.5000  0.7510
Ga  0.0000  0.0000  0.5000
Ga  0.5000  0.0000  0.8718
Ga  0.0000  0.5000  0.1282
Au  0.5000  0.5000  0.0000
Au  0.0000  0.5000  0.3681
Au  0.0000  0.0000  0.0000
Au  0.5000  0.0000  0.6319
Zn  0.5000  0.5000  0.5000

Record 6
First-principles (PBE-GGA) data for crystalline ScRuBr2 at its relaxed geometry, as listed in Alexandria via LeMat-Bulk.

Results
E_form (uncorrected) = -0.57 eV per atom
SG = Pm (6)
energy above the most stable polymorph in this dataset = 0.002 eV per atom
total DFT energy (no corrections) = -5.304 eV/atom

a = 3.5156 Å, b = 3.8856 Å, c = 7.6257 Å
α = 84.15°, β = 90.00°, γ = 90.00°
Fractional positions:
Ru  0.0000  0.2711  0.5794
Br  0.0000  0.0289  0.9035
Br  0.5000  0.4648  0.3390
Sc  0.5000  0.7353  0.6781

> What is the formula in the sixth record?

ScRuBr2

Please write out number 5 again, unchanged.
First-principles (PBE-GGA) data for crystalline Sr2ZnGa3Au4 at its relaxed geometry, as listed in Alexandria via LeMat-Bulk.

Results
SG = P-4m2 (115)
total DFT energy (no corrections) = -3.259 eV/atom
ΔH_f (0 K) = -0.5762 eV/atom

a = 4.5157 Å, b = 4.5157 Å, c = 10.8265 Å
α = 90.00°, β = 90.00°, γ = 90.00°
Fractional positions:
Sr  0.5000  0.0000  0.2490
Sr  0.0000  0.5000  0.7510
Ga  0.0000  0.0000  0.5000
Ga  0.5000  0.0000  0.8718
Ga  0.0000  0.5000  0.1282
Au  0.5000  0.5000  0.0000
Au  0.0000  0.5000  0.3681
Au  0.0000  0.0000  0.0000
Au  0.5000  0.0000  0.6319
Zn  0.5000  0.5000  0.5000